Density functional theory data (PBE-GGA) for PaMnPtRh after structural relaxation.

Properties
The density of states at the Fermi level is 5.648 states/eV/f.u. Its energy relative to the elements is -0.4904 eV per atom.

Cell lengths 4.7100, 4.7100, 4.7100 Å; angles 60.00, 60.00, 60.00 degrees
Sites, in units of the cell vectors:
Pa (0.0000, 0.0000, 0.0000)
Mn (0.5000, 0.5000, 0.5000)
Pt (0.7500, 0.7500, 0.7500)
Rh (0.2500, 0.2500, 0.2500)

***

Density functional theory data (PBE-GGA) for Ga4PtRh5 after structural relaxation.

Properties
The density of states at the Fermi level is 10.307 states/eV/f.u. Its energy relative to the elements is -0.5383 eV per atom.

Cell lengths 2.9962, 2.9962, 15.8449 Å; angles 90.00, 90.00, 90.00 degrees
Sites, in units of the cell vectors:
Ga (0.0000, 0.0000, 0.0977)
Ga (0.0000, 0.0000, 0.2941)
Ga (0.0000, 0.0000, 0.7059)
Ga (0.0000, 0.0000, 0.9023)
Pt (0.0000, 0.0000, 0.5000)
Rh (0.5000, 0.5000, 0.0000)
Rh (0.5000, 0.5000, 0.1917)
Rh (0.5000, 0.5000, 0.3824)
Rh (0.5000, 0.5000, 0.6176)
Rh (0.5000, 0.5000, 0.8083)

***

Density functional theory data (PBE-GGA) for Fe4MoIr after structural relaxation.

Properties
The density of states at the Fermi level is 4.901 states/eV/f.u. Its energy relative to the elements is -0.0710 eV per atom.

Cell lengths 4.6975, 4.6975, 4.6975 Å; angles 60.00, 60.00, 60.00 degrees
Sites, in units of the cell vectors:
Fe (0.1254, 0.1254, 0.1254)
Fe (0.1254, 0.1254, 0.6238)
Fe (0.1254, 0.6238, 0.1254)
Fe (0.6238, 0.1254, 0.1254)
Mo (0.7500, 0.7500, 0.7500)
Ir (0.5000, 0.5000, 0.5000)

***

Density functional theory data (PBE-GGA) for VTcGeAs after structural relaxation.

Properties
The density of states at the Fermi level is 3.032 states/eV/f.u. Its energy relative to the elements is -0.0907 eV per atom.

Cell lengths 4.3620, 4.3620, 4.3620 Å; angles 60.00, 60.00, 60.00 degrees
Sites, in units of the cell vectors:
V (0.0000, 0.0000, 0.0000)
Tc (0.5000, 0.5000, 0.5000)
Ge (0.2500, 0.2500, 0.2500)
As (0.7500, 0.7500, 0.7500)

***

Density functional theory data (PBE-GGA) for Na3AgBi2 after structural relaxation.

Properties
The density of states at the Fermi level is 0.941 states/eV/f.u. Its energy relative to the elements is -0.2007 eV per atom.

Cell lengths 10.1343, 10.1343, 10.1343 Å; angles 144.46, 51.02, 144.62 degrees
Sites, in units of the cell vectors:
Na (0.1888, 0.1816, 0.3704)
Na (0.2500, 0.2500, 0.0000)
Na (0.3112, 0.6816, 0.9928)
Na (0.6888, 0.3184, 0.0072)
Na (0.7500, 0.7500, 0.0000)
Na (0.8112, 0.8184, 0.6296)
Ag (0.2500, 0.7500, 0.5000)
Ag (0.7500, 0.2500, 0.5000)
Bi (0.1252, 0.6757, 0.8010)
Bi (0.3748, 0.1757, 0.5505)
Bi (0.6252, 0.8243, 0.4495)
Bi (0.8748, 0.3243, 0.1990)

***

Density functional theory data (PBE-GGA) for LaInGa2 after structural relaxation.

Properties
The density of states at the Fermi level is 1.440 states/eV/f.u. Its energy relative to the elements is -0.4412 eV per atom.

Cell lengths 5.9840, 5.9840, 5.9840 Å; angles 45.13, 45.13, 45.13 degrees
Sites, in units of the cell vectors:
La (0.0000, 0.0000, 0.0000)
In (0.5000, 0.5000, 0.5000)
Ga (0.2291, 0.2291, 0.2291)
Ga (0.7709, 0.7709, 0.7709)

***

Density functional theory data (PBE-GGA) for MgCo2Ir after structural relaxation.

Properties
The density of states at the Fermi level is 6.054 states/eV/f.u. Its energy relative to the elements is 0.0600 eV per atom.

Cell lengths 4.6043, 4.6043, 4.6043 Å; angles 131.81, 131.81, 70.53 degrees
Sites, in units of the cell vectors:
Mg (0.0000, 0.0000, 0.0000)
Co (0.2500, 0.7500, 0.5000)
Co (0.5000, 0.5000, 0.0000)
Ir (0.7500, 0.2500, 0.5000)

***

Density functional theory data (PBE-GGA) for Cs3AlS3 after structural relaxation.

Properties
Its excess energy over the best structure of this formula in the dataset is 135.0 meV/atom. For the uncorrected formation energy, the calculation gives -1128 meV per atom.

Cell lengths 10.1682, 7.0538, 10.1683 Å; angles 90.00, 119.81, 90.00 degrees
Sites, in units of the cell vectors:
Cs (0.1307, 0.2500, 0.3160)
Cs (0.3148, 0.7500, 0.1307)
Cs (0.3168, 0.7500, 0.6844)
Cs (0.6832, 0.2500, 0.3156)
Cs (0.6852, 0.2500, 0.8693)
Cs (0.8693, 0.7500, 0.6840)
Al (0.1670, 0.2500, 0.8330)
Al (0.8330, 0.7500, 0.1670)
S (0.0810, 0.7500, 0.2914)
S (0.2901, 0.2500, 0.0810)
S (0.2920, 0.2500, 0.7093)
S (0.7080, 0.7500, 0.2907)
S (0.7099, 0.7500, 0.9190)
S (0.9190, 0.2500, 0.7086)

***

Density functional theory data (PBE-GGA) for IrBrCl2 after structural relaxation.

Properties
Its excess energy over the best structure of this formula in the dataset is 0.0 meV/atom. The density of states at the Fermi level is 0.000 states/eV/f.u. For the uncorrected formation energy, the calculation gives -407 meV per atom.

Cell lengths 6.2380, 6.2380, 6.6211 Å; angles 90.94, 90.94, 119.37 degrees
Sites, in units of the cell vectors:
Ir (0.1656, 0.8344, 0.0000)
Ir (0.8344, 0.1656, 0.0000)
Br (0.4932, 0.8361, 0.7884)
Br (0.8361, 0.4932, 0.7884)
Cl (0.1427, 0.1427, 0.8104)
Cl (0.1430, 0.5072, 0.1942)
Cl (0.5072, 0.1430, 0.1942)
Cl (0.8714, 0.8714, 0.2013)

***

Density functional theory data (PBE-GGA) for BaReIr4 after structural relaxation.

Properties
The density of states at the Fermi level is 8.871 states/eV/f.u. Its energy relative to the elements is 0.7237 eV per atom.

Cell lengths 5.3669, 5.3669, 5.3669 Å; angles 60.00, 60.00, 60.00 degrees
Sites, in units of the cell vectors:
Ba (0.0000, 0.0000, 0.0000)
Re (0.2500, 0.2500, 0.2500)
Ir (0.1268, 0.6244, 0.6244)
Ir (0.6244, 0.1268, 0.6244)
Ir (0.6244, 0.6244, 0.1268)
Ir (0.6244, 0.6244, 0.6244)

***

Density functional theory data (PBE-GGA) for HoTm3Te6 after structural relaxation.

Properties
Its excess energy over the best structure of this formula in the dataset is 0.0 meV/atom. For the uncorrected formation energy, the calculation gives -1334 meV per atom.

Cell lengths 12.3791, 4.3093, 12.6784 Å; angles 90.00, 109.45, 90.00 degrees
Sites, in units of the cell vectors:
Ho (0.0446, 0.2500, 0.1947)
Ho (0.9554, 0.7500, 0.8053)
Tm (0.1559, 0.2500, 0.5802)
Tm (0.3158, 0.7500, 0.9981)
Tm (0.4316, 0.2500, 0.3342)
Tm (0.5684, 0.7500, 0.6658)
Tm (0.6842, 0.2500, 0.0019)
Tm (0.8441, 0.7500, 0.4198)
Te (0.0829, 0.7500, 0.3998)
Te (0.1107, 0.2500, 0.9673)
Te (0.1920, 0.7500, 0.7504)
Te (0.2527, 0.7500, 0.2203)
Te (0.3927, 0.2500, 0.5617)
Te (0.4820, 0.2500, 0.1175)
Te (0.5180, 0.7500, 0.8825)
Te (0.6073, 0.7500, 0.4383)
Te (0.7473, 0.2500, 0.7797)
Te (0.8080, 0.2500, 0.2496)
Te (0.8893, 0.7500, 0.0327)
Te (0.9171, 0.2500, 0.6002)

***

Density functional theory data (PBE-GGA) for PrSm2YP4 after structural relaxation.

Properties
The density of states at the Fermi level is 0.653 states/eV/f.u. Its energy relative to the elements is -1.5636 eV per atom.

Cell lengths 7.1160, 4.1122, 7.1173 Å; angles 90.00, 109.46, 90.00 degrees
Sites, in units of the cell vectors:
Pr (0.0000, 0.0000, 0.0000)
Sm (0.0000, 0.5000, 0.5000)
Sm (0.5000, 0.0000, 0.5000)
Y (0.5000, 0.5000, 0.0000)
P (0.2554, 0.0000, 0.7517)
P (0.2555, 0.5000, 0.2521)
P (0.7445, 0.5000, 0.7479)
P (0.7446, 0.0000, 0.2483)

***

Density functional theory data (PBE-GGA) for AlCdRh after structural relaxation.

Properties
Its excess energy over the best structure of this formula in the dataset is 0.0 meV/atom. The density of states at the Fermi level is 0.894 states/eV/f.u. Its energy relative to the elements is -0.4524 eV per atom.

Cell lengths 5.3737, 5.3737, 5.3737 Å; angles 147.58, 143.00, 50.00 degrees
Sites, in units of the cell vectors:
Al (0.0000, 0.0000, 0.0000)
Cd (0.7011, 0.7011, 0.0000)
Rh (0.3930, 0.3930, 0.0000)

***

Density functional theory data (PBE-GGA) for LaBe2Mo after structural relaxation.

Properties
Its excess energy over the best structure of this formula in the dataset is 506.6 meV/atom. The density of states at the Fermi level is 4.290 states/eV/f.u. Its energy relative to the elements is 0.6791 eV per atom.

Cell lengths 4.3491, 4.3491, 3.5354 Å; angles 90.00, 90.00, 90.00 degrees
Sites, in units of the cell vectors:
La (0.0000, 0.0000, 0.0000)
Be (0.0000, 0.5000, 0.5000)
Be (0.5000, 0.0000, 0.5000)
Mo (0.5000, 0.5000, 0.0000)

***

Density functional theory data (PBE-GGA) for GdCrRu2 after structural relaxation.

Properties
The density of states at the Fermi level is 4.505 states/eV/f.u. Its energy relative to the elements is 0.0538 eV per atom.

Cell lengths 3.0713, 3.0713, 6.9947 Å; angles 90.00, 90.00, 90.00 degrees
Sites, in units of the cell vectors:
Gd (0.0000, 0.0000, 0.0000)
Cr (0.0000, 0.0000, 0.5000)
Ru (0.5000, 0.5000, 0.3009)
Ru (0.5000, 0.5000, 0.6991)

***

Density functional theory data (PBE-GGA) for Y2BiP after structural relaxation.

Properties
The density of states at the Fermi level is 3.256 states/eV/f.u. Its energy relative to the elements is -1.1457 eV per atom.

Cell lengths 7.9171, 7.9171, 7.9171 Å; angles 29.74, 29.74, 29.74 degrees
Sites, in units of the cell vectors:
Y (0.0000, 0.0000, 0.0000)
Y (0.1957, 0.1957, 0.1957)
Bi (0.4305, 0.4305, 0.4305)
P (0.5994, 0.5994, 0.5994)

***

Density functional theory data (PBE-GGA) for InOsRhI2 after structural relaxation.

Properties
The density of states at the Fermi level is 4.895 states/eV/f.u. For the uncorrected formation energy, the calculation gives 1308 meV per atom.

Cell lengths 5.3790, 5.3790, 5.1719 Å; angles 90.00, 90.00, 90.00 degrees
Sites, in units of the cell vectors:
In (0.0000, 0.0000, 0.0000)
Os (0.5000, 0.5000, 0.0000)
Rh (0.0000, 0.0000, 0.5000)
I (0.0000, 0.5000, 0.5000)
I (0.5000, 0.0000, 0.5000)

***

Density functional theory data (PBE-GGA) for Zn3In2Au8 after structural relaxation.

Properties
The density of states at the Fermi level is 3.506 states/eV/f.u. Its energy relative to the elements is -0.1256 eV per atom.

Cell lengths 7.8007, 4.1481, 8.8713 Å; angles 90.00, 115.80, 90.00 degrees
Sites, in units of the cell vectors:
Zn (0.0000, 0.0000, 0.0000)
Zn (0.2711, 0.5000, 0.0005)
Zn (0.7289, 0.5000, 0.9995)
In (0.2446, 0.0000, 0.4938)
In (0.7554, 0.0000, 0.5062)
Au (0.1196, 0.5000, 0.2401)
Au (0.1473, 0.0000, 0.7775)
Au (0.3690, 0.0000, 0.2246)
Au (0.3750, 0.5000, 0.7485)
Au (0.6250, 0.5000, 0.2515)
Au (0.6310, 0.0000, 0.7754)
Au (0.8527, 0.0000, 0.2225)
Au (0.8804, 0.5000, 0.7599)

***

Density functional theory data (PBE-GGA) for Pa2GaPd2 after structural relaxation.

Properties
The density of states at the Fermi level is 3.874 states/eV/f.u. Its energy relative to the elements is -0.5265 eV per atom.

Cell lengths 7.5762, 7.5762, 3.7289 Å; angles 90.00, 90.00, 90.00 degrees
Sites, in units of the cell vectors:
Pa (0.1781, 0.3219, 0.0000)
Pa (0.3219, 0.8219, 0.0000)
Pa (0.6781, 0.1781, 0.0000)
Pa (0.8219, 0.6781, 0.0000)
Ga (0.0000, 0.0000, 0.5000)
Ga (0.5000, 0.5000, 0.5000)
Pd (0.1293, 0.6293, 0.5000)
Pd (0.3707, 0.1293, 0.5000)
Pd (0.6293, 0.8707, 0.5000)
Pd (0.8707, 0.3707, 0.5000)

***

Density functional theory data (PBE-GGA) for TmSc2Ag after structural relaxation.

Properties
Its excess energy over the best structure of this formula in the dataset is 126.9 meV/atom. The density of states at the Fermi level is 6.265 states/eV/f.u. Its energy relative to the elements is 0.0196 eV per atom.

Cell lengths 10.0419, 10.0419, 10.0419 Å; angles 19.46, 19.46, 19.46 degrees
Sites, in units of the cell vectors:
Tm (0.0000, 0.0000, 0.0000)
Sc (0.2424, 0.2424, 0.2424)
Sc (0.4253, 0.4253, 0.4253)
Ag (0.8344, 0.8344, 0.8344)

***

Density functional theory data (PBE-GGA) for ZrMn2B4 after structural relaxation.

Properties
The density of states at the Fermi level is 2.382 states/eV/f.u. Its energy relative to the elements is -0.5794 eV per atom.

Cell lengths 6.9155, 6.9155, 6.9155 Å; angles 154.32, 152.68, 37.85 degrees
Sites, in units of the cell vectors:
Zr (0.0000, 0.0000, 0.0000)
Mn (0.1885, 0.6885, 0.5000)
Mn (0.8115, 0.3115, 0.5000)
B (0.3526, 0.8526, 0.5000)
B (0.4236, 0.4236, 0.0000)
B (0.5764, 0.5764, 0.0000)
B (0.6474, 0.1474, 0.5000)

***

Density functional theory data (PBE-GGA) for Rb2S2O7 after structural relaxation.

Properties
Its excess energy over the best structure of this formula in the dataset is 0.3 meV/atom. The density of states at the Fermi level is 0.000 states/eV/f.u. For the uncorrected formation energy, the calculation gives -1674 meV per atom.

Cell lengths 7.7654, 7.7417, 15.1907 Å; angles 90.00, 118.19, 90.00 degrees
Sites, in units of the cell vectors:
Rb (0.0076, 0.1368, 0.1531)
Rb (0.0076, 0.3632, 0.6531)
Rb (0.4359, 0.7284, 0.6336)
Rb (0.4359, 0.7716, 0.1336)
Rb (0.5641, 0.2284, 0.8664)
Rb (0.5641, 0.2716, 0.3664)
Rb (0.9924, 0.6368, 0.3469)
Rb (0.9924, 0.8632, 0.8469)
S (0.1028, 0.1814, 0.4169)
S (0.1028, 0.3186, 0.9169)
S (0.4739, 0.2223, 0.6069)
S (0.4739, 0.2777, 0.1069)
S (0.5261, 0.7223, 0.8931)
S (0.5261, 0.7777, 0.3931)
S (0.8972, 0.6814, 0.0831)
S (0.8972, 0.8186, 0.5831)
O (0.0061, 0.0226, 0.3671)
O (0.0061, 0.4774, 0.8671)
O (0.0064, 0.7124, 0.5468)
O (0.0064, 0.7876, 0.0468)
O (0.1825, 0.2176, 0.8629)
O (0.1825, 0.2824, 0.3629)
O (0.2952, 0.1023, 0.5184)
O (0.2952, 0.3977, 0.0184)
O (0.3774, 0.1528, 0.1414)
O (0.3774, 0.3472, 0.6414)
O (0.4195, 0.6996, 0.4400)
O (0.4195, 0.8004, 0.9400)
O (0.4203, 0.5877, 0.8202)
O (0.4203, 0.9123, 0.3202)
O (0.5797, 0.0877, 0.6798)
O (0.5797, 0.4123, 0.1798)
O (0.5805, 0.1996, 0.0600)
O (0.5805, 0.3004, 0.5600)
O (0.6226, 0.6528, 0.3586)
O (0.6226, 0.8472, 0.8586)
O (0.7048, 0.6023, 0.9816)
O (0.7048, 0.8977, 0.4816)
O (0.8175, 0.7176, 0.6371)
O (0.8175, 0.7824, 0.1371)
O (0.9936, 0.2124, 0.9532)
O (0.9936, 0.2876, 0.4532)
O (0.9939, 0.5226, 0.1329)
O (0.9939, 0.9774, 0.6329)

***

no.,final energy (eV per cell),spin magnetization (μB/f.u.)
1,-34.019,4.285
2,-60.288,0.006
3,-53.969,6.051
4,-29.114,1.927
5,-31.549,0.000
6,-15.484,0.000
7,-24.427,3.751
8,-53.168,0.000
9,-31.707,0.000
10,-45.473,1.730
11,-100.361,0.000
12,-54.830,0.000
13,-13.366,0.000
14,-20.494,0.129
15,-42.041,5.649
16,-26.802,0.000
17,-17.878,3.905
18,-37.150,0.000
19,-70.073,0.000
20,-19.907,0.842
21,-57.653,4.141
22,-253.267,0.000